(1)
A plane-wave DFT calculation with PBE was carried out for MnAlZn6 after structural relaxation.

## Properties
- energy relative to the lowest polymorph listed for this composition (meV/atom) = 223.8
- formation enthalpy at 0 K (kcal/mol of atoms) = 6.04
- DOS at the Fermi energy (states/eV/cell) = 12.29

Lattice parameters (Å, degrees): 7.0778 7.0778 9.6956 90.00 90.00 120.00
Space group R-3m (No. 166, hexagonal axes)
Unique sites:
Mn 0.0000 0.0000 0.0000
Al 0.0000 0.0000 0.5000
Zn 0.0867 0.5434 0.8836

(2)
A plane-wave DFT calculation with PBE was carried out for MnAlZn2 after structural relaxation.

## Properties
- formation enthalpy at 0 K (kcal/mol of atoms) = -2.40
- DOS at the Fermi energy (states/eV/cell) = 1.97

Lattice parameters (Å, degrees): 3.773 3.773 3.902 90.00 90.00 90.00
Space group P4/mmm (No. 123)
Unique sites:
Mn 0.000 0.000 0.000
Al 0.500 0.500 0.000
Zn 0.000 0.500 0.500

(3)
A plane-wave DFT calculation with PBE was carried out for MnAlZn4 after structural relaxation.

## Properties
- energy relative to the lowest polymorph listed for this composition (meV/atom) = 0.0
- formation enthalpy at 0 K (kcal/mol of atoms) = 2.26
- DOS at the Fermi energy (states/eV/cell) = 5.01

Lattice parameters (Å, degrees): 4.319 8.713 5.457 90.00 90.01 90.00
Space group P2_1/m (No. 11)
Unique sites:
Mn 0.002 0.250 0.001
Al 0.498 0.750 0.763
Zn 0.002 0.001 0.239
Zn 0.003 0.250 0.504
Zn 0.498 0.750 0.247

(4)
A plane-wave DFT calculation with PBE was carried out for MnAlZn2 after structural relaxation.

## Properties
- formation enthalpy at 0 K (kcal/mol of atoms) = 7.14
- DOS at the Fermi energy (states/eV/cell) = 11.01

Lattice parameters (Å, degrees): 7.088 7.088 5.124 90.00 90.00 90.00
Space group I-42d (No. 122)
Unique sites:
Mn 0.000 0.000 0.000
Al 0.000 0.000 0.500
Zn 0.246 0.250 0.125

(5)
A plane-wave DFT calculation with PBE was carried out for Mn2AlZn after structural relaxation.

## Properties
- formation enthalpy at 0 K (kcal/mol of atoms) = -2.18
- DOS at the Fermi energy (states/eV/cell) = 3.23

Lattice parameters (Å, degrees): 2.733 2.733 7.154 90.00 90.00 90.00
Space group P4/mmm (No. 123)
Unique sites:
Mn 0.000 0.000 0.247
Al 0.500 0.500 0.000
Zn 0.500 0.500 0.500

(6)
A plane-wave DFT calculation with PBE was carried out for ZrMnAlZn after structural relaxation.

## Properties
- formation enthalpy at 0 K (kcal/mol of atoms) = -2.79
- DOS at the Fermi energy (states/eV/cell) = 12.98

Lattice parameters (Å, degrees): 6.425 6.425 6.425 90.00 90.00 90.00
Space group F-43m (No. 216)
Unique sites:
Zr 0.000 0.000 0.000
Mn 0.000 0.000 0.500
Al 0.250 0.250 0.250
Zn 0.250 0.250 0.750